[1]
A crystal of LiCl3 relaxed with PBEsol. Source: Alexandria, functional SCAN.

## Properties
SG   No. 166
Raw formation energy   -0.953 eV/atom
Energy relative to the lowest polymorph listed for this composition   0.000 eV per atom
Calculated density   2.09 g cm⁻³

Cell lengths 7.374, 7.374, 7.374 Å; angles 30.21, 30.21, 30.21 degrees
Element x y z (fractional)
Li 0.000 0.000 0.000
Cl 0.392 0.392 0.392
Cl 0.500 0.500 0.500
Cl 0.608 0.608 0.608

=====

[2]
A crystal of KNb2O5 relaxed with PBEsol. Source: Alexandria, functional SCAN.

## Properties
SG   No. 7
Raw formation energy   -2.597 eV/atom
Calculated density   4.55 g cm⁻³

Cell lengths 4.000, 12.844, 12.990 Å; angles 90.00, 91.31, 90.00 degrees
Element x y z (fractional)
K 0.000 0.049 0.000
K 0.000 0.951 0.500
K 0.011 0.239 0.646
K 0.011 0.761 0.146
K 0.983 0.400 0.341
K 0.983 0.600 0.841
Nb 0.475 0.243 0.161
Nb 0.475 0.757 0.661
Nb 0.493 0.452 0.574
Nb 0.493 0.548 0.074
Nb 0.500 0.170 0.446
Nb 0.500 0.830 0.946
Nb 0.513 0.320 0.845
Nb 0.513 0.680 0.345
Nb 0.521 0.035 0.732
Nb 0.521 0.965 0.232
Nb 0.885 0.362 0.006
Nb 0.885 0.638 0.506
O 0.006 0.479 0.553
O 0.006 0.521 0.053
O 0.007 0.042 0.724
O 0.007 0.958 0.224
O 0.023 0.345 0.853
O 0.023 0.655 0.353
O 0.481 0.260 0.995
O 0.481 0.740 0.495
O 0.483 0.255 0.302
O 0.483 0.745 0.802
O 0.497 0.320 0.504
O 0.497 0.680 0.004
O 0.500 0.095 0.146
O 0.500 0.905 0.646
O 0.503 0.107 0.578
O 0.503 0.893 0.078
O 0.505 0.038 0.361
O 0.505 0.962 0.861
O 0.510 0.391 0.706
O 0.510 0.609 0.206
O 0.520 0.182 0.789
O 0.520 0.818 0.289
O 0.531 0.459 0.937
O 0.531 0.541 0.437
O 0.543 0.401 0.137
O 0.543 0.599 0.637
O 0.987 0.255 0.128
O 0.987 0.745 0.628
O 0.997 0.176 0.440
O 0.997 0.824 0.940

=====

[3]
A crystal of TiP relaxed with PBEsol. Source: Alexandria, functional SCAN.

## Properties
SG   No. 194
Energy of formation   -1.236 eV/atom
Calculated density   4.28 g cm⁻³

Cell lengths 3.431, 3.431, 5.996 Å; angles 90.00, 90.00, 120.00 degrees
Element x y z (fractional)
Ti 0.000 0.000 0.000
Ti 0.000 0.000 0.500
P 0.333 0.667 0.250
P 0.667 0.333 0.750

=====

[4]
A crystal of Ta2Co21B6 relaxed with PBEsol. Source: Alexandria, functional SCAN.

## Properties
SG   No. 225
Energy of formation   -0.207 eV/atom
Calculated density   9.98 g cm⁻³

Cell lengths 7.317, 7.317, 7.317 Å; angles 60.00, 60.00, 60.00 degrees
Element x y z (fractional)
Ta 0.250 0.250 0.250
Ta 0.750 0.750 0.750
Co 0.000 0.000 0.000
Co 0.000 0.000 0.338
Co 0.000 0.000 0.662
Co 0.000 0.338 0.000
Co 0.000 0.338 0.662
Co 0.000 0.662 0.000
Co 0.000 0.662 0.338
Co 0.151 0.616 0.616
Co 0.338 0.000 0.000
Co 0.338 0.000 0.662
Co 0.338 0.662 0.000
Co 0.384 0.384 0.384
Co 0.384 0.384 0.849
Co 0.384 0.849 0.384
Co 0.616 0.151 0.616
Co 0.616 0.616 0.151
Co 0.616 0.616 0.616
Co 0.662 0.000 0.000
Co 0.662 0.000 0.338
Co 0.662 0.338 0.000
Co 0.849 0.384 0.384
B 0.274 0.274 0.726
B 0.274 0.726 0.274
B 0.274 0.726 0.726
B 0.726 0.274 0.274
B 0.726 0.274 0.726
B 0.726 0.726 0.274

=====

[5]
A crystal of NiTeCN2 relaxed with PBEsol. Source: Alexandria, functional SCAN.

## Properties
SG   No. 123
Raw formation energy   2.271 eV/atom
Calculated density   5.47 g cm⁻³

Cell lengths 3.256, 3.256, 6.476 Å; angles 90.00, 90.00, 90.00 degrees
Element x y z (fractional)
Ni 0.000 0.000 0.000
Te 0.500 0.500 0.000
C 0.500 0.500 0.500
N 0.000 0.500 0.500
N 0.500 0.000 0.500

=====

[6]
A crystal of TcSnTe2I relaxed with PBEsol. Source: Alexandria, functional SCAN.

## Properties
SG   No. 123
Raw formation energy   1.040 eV/atom
Calculated density   5.53 g cm⁻³

Cell lengths 5.615, 5.615, 5.699 Å; angles 90.00, 90.00, 90.00 degrees
Element x y z (fractional)
Tc 0.000 0.000 0.000
Sn 0.500 0.500 0.500
Te 0.000 0.500 0.500
Te 0.500 0.000 0.500
I 0.500 0.500 0.000

=====

[7]
A crystal of CrGePd3 relaxed with PBEsol. Source: Alexandria, functional SCAN.

## Properties
SG   No. 221
Energy of formation   0.241 eV/atom
Calculated density   7.88 g cm⁻³

Cell lengths 4.539, 4.539, 4.539 Å; angles 90.00, 90.00, 90.00 degrees
Element x y z (fractional)
Cr 0.000 0.000 0.000
Ge 0.500 0.500 0.500
Pd 0.000 0.500 0.500
Pd 0.500 0.000 0.500
Pd 0.500 0.500 0.000

=====

[8]
A crystal of MgScMo2 relaxed with PBEsol. Source: Alexandria, functional SCAN.

## Properties
SG   No. 123
Energy of formation   0.290 eV/atom
Calculated density   6.34 g cm⁻³

Cell lengths 2.707, 2.707, 9.341 Å; angles 90.00, 90.00, 90.00 degrees
Element x y z (fractional)
Mg 0.000 0.000 0.000
Sc 0.000 0.000 0.500
Mo 0.500 0.500 0.246
Mo 0.500 0.500 0.754

=====

[9]
A crystal of Ga3NiI relaxed with PBEsol. Source: Alexandria, functional SCAN.

## Properties
SG   No. 221
Raw formation energy   1.365 eV/atom
Calculated density   3.43 g cm⁻³

Cell lengths 5.761, 5.761, 5.761 Å; angles 90.00, 90.00, 90.00 degrees
Element x y z (fractional)
Ga 0.000 0.000 0.500
Ga 0.000 0.500 0.000
Ga 0.500 0.000 0.000
Ni 0.500 0.500 0.500
I 0.000 0.000 0.000

=====

[10]
A crystal of BaMgCo2 relaxed with PBEsol. Source: Alexandria, functional SCAN.

## Properties
SG   No. 123
Energy of formation   0.471 eV/atom
Calculated density   5.68 g cm⁻³

Cell lengths 3.464, 3.464, 6.814 Å; angles 90.00, 90.00, 90.00 degrees
Element x y z (fractional)
Ba 0.000 0.000 0.000
Mg 0.000 0.000 0.500
Co 0.500 0.500 0.341
Co 0.500 0.500 0.659

=====

[11]
A crystal of IrOsO2 relaxed with PBEsol. Source: Alexandria, functional SCAN.

## Properties
SG   No. 225
Raw formation energy   1.241 eV/atom
Calculated density   16.26 g cm⁻³

Cell lengths 3.912, 3.912, 3.912 Å; angles 60.00, 60.00, 60.00 degrees
Element x y z (fractional)
Ir 0.000 0.000 0.000
Os 0.500 0.500 0.500
O 0.250 0.250 0.250
O 0.750 0.750 0.750

=====

[12]
A crystal of MgScCd relaxed with PBEsol. Source: Alexandria, functional SCAN.

## Properties
SG   No. 216
Energy of formation   0.201 eV/atom
Calculated density   4.15 g cm⁻³

Cell lengths 4.685, 4.685, 4.685 Å; angles 60.00, 60.00, 60.00 degrees
Element x y z (fractional)
Mg 0.000 0.000 0.000
Sc 0.250 0.250 0.250
Cd 0.750 0.750 0.750